# 1
An optimized crystal structure of PuNpSe, computed with GGA-PBE.

Properties
- Uncorrected formation energy: -0.548 eV per atom
- DFT total energy: -32.401 eV/f.u.
- Total magnetization: 0.40 μB/atom

Cell lengths 3.5184, 6.0352, 11.3118 Å; angles 90.00, 90.00, 90.00 degrees
Positions (direct):
Se 0.7500 0.3008 0.9371
Se 0.7500 0.1992 0.4371
Se 0.2500 0.6992 0.0629
Se 0.2500 0.8008 0.5629
Pu 0.2500 0.3369 0.6228
Pu 0.2500 0.1631 0.1228
Pu 0.7500 0.6631 0.3772
Pu 0.7500 0.8369 0.8772
Np 0.7500 0.5508 0.7207
Np 0.2500 0.4492 0.2793
Np 0.7500 0.9492 0.2207
Np 0.2500 0.0508 0.7793

***

# 2
An optimized crystal structure of AcAl2Cd, computed with GGA-PBE.

Properties
- Formation energy: -0.227 eV per atom
- DFT total energy: -13.415 eV/f.u.
- Total magnetization: 0.00 μB/atom

Cell lengths 4.5899, 4.5899, 6.3321 Å; angles 68.75, 68.75, 60.00 degrees
Positions (direct):
Ac 0.0000 0.0000 0.0000
Al 0.2117 0.2117 0.3650
Al 0.7883 0.7883 0.6350
Cd 0.5000 0.5000 0.5000

***

# 3
An optimized crystal structure of Zr2TiNiB, computed with GGA-PBE.

Properties
- Formation energy: -0.029 eV per atom
- DFT total energy: -37.595 eV/f.u.
- Total magnetization: 0.00 μB/atom

Cell lengths 4.6110, 4.1354, 4.6110 Å; angles 90.00, 90.00, 90.00 degrees
Positions (direct):
Ni 0.5000 0.5000 0.5000
B 0.0000 0.0000 0.0000
Ti 0.0000 0.5000 0.0000
Zr 0.0000 0.0000 0.5000
Zr 0.5000 0.0000 0.0000

***

# 4
An optimized crystal structure of In6HgTe8, computed with GGA-PBE.

Properties
- Uncorrected formation energy: -0.216 eV per atom
- DFT total energy: -45.098 eV/f.u.
- Total magnetization: 0.00 μB/atom

Cell lengths 8.1413, 8.1413, 8.1413 Å; angles 95.18, 95.18, 95.18 degrees
Positions (direct):
Te 0.1502 0.8701 0.3749
Te 0.1299 0.6251 0.8498
Te 0.6732 0.6732 0.6732
Te 0.3749 0.1502 0.8701
Te 0.8498 0.1299 0.6251
Te 0.8701 0.3749 0.1502
Te 0.3268 0.3268 0.3268
Te 0.6251 0.8498 0.1299
In 0.8243 0.6761 0.3581
In 0.1757 0.3239 0.6419
In 0.3581 0.8243 0.6761
In 0.3239 0.6419 0.1757
In 0.6419 0.1757 0.3239
In 0.6761 0.3581 0.8243
Hg 0.0000 0.0000 0.0000

***

# 5
An optimized crystal structure of ThBiS2, computed with GGA-PBE.

Properties
- Uncorrected formation energy: -0.341 eV per atom
- DFT total energy: -20.919 eV/f.u.
- Total magnetization: 0.00 μB/atom

Cell lengths 3.8948, 3.8948, 9.2303 Å; angles 77.82, 77.82, 60.00 degrees
Positions (direct):
Bi 0.5000 0.5000 0.5000
S 0.1027 0.1027 0.6920
S 0.8973 0.8973 0.3080
Th 0.0000 0.0000 0.0000

***

# 6
An optimized crystal structure of TaTcP3, computed with GGA-PBE.

Properties
- Formation energy: 0.965 eV per atom
- Energy above the lowest structure with this stoichiometry: 0.0 meV/atom
- DFT total energy: -33.624 eV/f.u.
- Total magnetization: 0.69 μB/atom

Cell lengths 4.7761, 4.7761, 4.7761 Å; angles 90.00, 90.00, 90.00 degrees
Positions (direct):
P 0.0000 0.5000 0.0000
P 0.0000 0.0000 0.5000
P 0.5000 0.0000 0.0000
Ta 0.0000 0.0000 0.0000
Tc 0.5000 0.5000 0.5000

***

# 7
An optimized crystal structure of Tl2BiCl, computed with GGA-PBE.

Properties
- Uncorrected formation energy: -0.380 eV per atom
- Energy above the lowest structure with this stoichiometry: 0.0 meV/atom
- DFT total energy: -11.979 eV/f.u.
- Total magnetization: 0.00 μB/atom

Cell lengths 3.5719, 3.5719, 9.6312 Å; angles 90.00, 90.00, 90.00 degrees
Positions (direct):
Tl 0.0000 0.0000 0.2155
Tl 0.0000 0.0000 0.7845
Bi 0.5000 0.5000 0.5000
Cl 0.5000 0.5000 0.0000

***

# 8
An optimized crystal structure of K2SrPd2, computed with GGA-PBE.

Properties
- Formation energy: -0.030 eV per atom
- Energy above the lowest structure with this stoichiometry: 0.0 meV/atom
- DFT total energy: -14.410 eV/f.u.
- Total magnetization: 0.00 μB/atom

Cell lengths 7.7667, 7.7667, 5.4741 Å; angles 90.00, 90.00, 90.00 degrees
Positions (direct):
K 0.1596 0.6596 0.5000
K 0.8404 0.3404 0.5000
K 0.6596 0.8404 0.5000
K 0.3404 0.1596 0.5000
Sr 0.0000 0.0000 0.0000
Sr 0.5000 0.5000 0.0000
Pd 0.8784 0.6216 0.0000
Pd 0.6216 0.1216 0.0000
Pd 0.3784 0.8784 0.0000
Pd 0.1216 0.3784 0.0000

***

# 9
An optimized crystal structure of Dy2Mn2Ge2N, computed with GGA-PBE.

Properties
- Uncorrected formation energy: -0.678 eV per atom
- DFT total energy: -49.852 eV/f.u.
- Total magnetization: 0.90 μB/atom

Cell lengths 4.0637, 4.0637, 7.8465 Å; angles 105.01, 105.01, 90.00 degrees
Positions (direct):
Mn 0.5000 0.0000 0.0000
Mn 0.0000 0.5000 0.0000
Ge 0.6242 0.6242 0.2485
Ge 0.3758 0.3758 0.7515
Dy 0.8378 0.8378 0.6755
Dy 0.1622 0.1622 0.3245
N 0.0000 0.0000 0.0000

***

# 10
An optimized crystal structure of Pr3ThN3, computed with GGA-PBE.

Properties
- Uncorrected formation energy: -1.060 eV per atom
- Energy above the lowest structure with this stoichiometry: 0.0 meV/atom
- DFT total energy: -54.157 eV/f.u.
- Total magnetization: 0.00 μB/atom

Cell lengths 5.4627, 8.2506, 8.2506 Å; angles 120.01, 90.00, 90.00 degrees
Positions (direct):
Pr 0.2500 0.1672 0.3345
Pr 0.7500 0.8328 0.6655
Pr 0.7500 0.3345 0.1675
Pr 0.2500 0.1671 0.8331
Pr 0.2500 0.6655 0.8325
Pr 0.7500 0.8329 0.1669
N 0.2500 0.8314 0.1683
N 0.7500 0.1688 0.3375
N 0.7500 0.6625 0.8310
N 0.2500 0.8312 0.6625
N 0.7500 0.1686 0.8317
N 0.2500 0.3375 0.1690
Th 0.7500 0.3331 0.6669
Th 0.2500 0.6669 0.3331

***

# 11
An optimized crystal structure of CeLuTcPt, computed with GGA-PBE.

Properties
- Formation energy: -0.576 eV per atom
- DFT total energy: -29.164 eV/f.u.
- Total magnetization: 0.00 μB/atom

Cell lengths 4.8753, 4.8753, 4.8753 Å; angles 60.00, 60.00, 60.00 degrees
Positions (direct):
Pt 0.2500 0.2500 0.2500
Lu 0.5000 0.5000 0.5000
Ce 0.0000 0.0000 0.0000
Tc 0.7500 0.7500 0.7500

***

# 12
An optimized crystal structure of TbHo3, computed with GGA-PBE.

Properties
- Formation energy: 0.017 eV per atom
- Energy above the lowest structure with this stoichiometry: 12.1 meV/atom
- DFT total energy: -18.295 eV/f.u.
- Total magnetization: 0.00 μB/atom

Cell lengths 6.1109, 6.1109, 6.1109 Å; angles 131.94, 131.94, 70.32 degrees
Positions (direct):
Ho 0.7500 0.2500 0.5000
Ho 0.5000 0.5000 0.0000
Ho 0.2500 0.7500 0.5000
Tb 0.0000 0.0000 0.0000

***

# 13
An optimized crystal structure of GdGaPd4, computed with GGA-PBE.

Properties
- Formation energy: -0.604 eV per atom
- DFT total energy: -41.505 eV/f.u.
- Total magnetization: 1.17 μB/atom

Cell lengths 5.3461, 5.3461, 5.3461 Å; angles 60.00, 60.00, 60.00 degrees
Positions (direct):
Pd 0.6256 0.6256 0.1233
Pd 0.6256 0.1233 0.6256
Pd 0.6256 0.6256 0.6256
Pd 0.1233 0.6256 0.6256
Gd 0.2500 0.2500 0.2500
Ga 0.0000 0.0000 0.0000

***

# 14
An optimized crystal structure of SrCu4Se, computed with GGA-PBE.

Properties
- Uncorrected formation energy: -0.149 eV per atom
- DFT total energy: -22.445 eV/f.u.
- Total magnetization: 0.00 μB/atom

Cell lengths 5.2509, 5.2509, 5.2509 Å; angles 60.00, 60.00, 60.00 degrees
Positions (direct):
Sr 0.0000 0.0000 0.0000
Cu 0.3759 0.3759 0.8723
Cu 0.3759 0.3759 0.3759
Cu 0.3759 0.8723 0.3759
Cu 0.8723 0.3759 0.3759
Se 0.7500 0.7500 0.7500

***

# 15
An optimized crystal structure of PaHSe, computed with GGA-PBE.

Properties
- DFT total energy: -18.079 eV/f.u.
- Total magnetization: 0.49 μB/atom

Cell lengths 3.4340, 3.4340, 5.2273 Å; angles 109.18, 109.18, 90.00 degrees
Positions (direct):
Se 0.3179 0.3179 0.6357
H 0.0469 0.0469 0.0938
Pa 0.6352 0.6352 0.2704

***

# 16
An optimized crystal structure of FeHgBr2, computed with GGA-PBE.

Properties
- Uncorrected formation energy: 0.417 eV per atom
- Energy above the lowest structure with this stoichiometry: 616.4 meV/atom
- DFT total energy: -10.442 eV/f.u.
- Total magnetization: 0.90 μB/atom

Cell lengths 5.1651, 5.1651, 3.6130 Å; angles 90.00, 90.00, 90.40 degrees
Positions (direct):
Br 0.0000 0.0000 0.0000
Br 0.5000 0.5000 0.0000
Fe 0.5000 0.0000 0.5000
Hg 0.0000 0.5000 0.5000

***

# 17
An optimized crystal structure of CaOsPt2, computed with GGA-PBE.

Properties
- Formation energy: -0.099 eV per atom
- Energy above the lowest structure with this stoichiometry: 66.0 meV/atom
- DFT total energy: -25.709 eV/f.u.
- Total magnetization: 0.00 μB/atom

Cell lengths 3.8267, 2.7979, 7.2374 Å; angles 67.28, 90.00, 90.00 degrees
Positions (direct):
Pt 0.0000 0.0459 0.9547
Pt 0.0000 0.4541 0.5453
Os 0.5000 0.7500 0.7500
Ca 0.5000 0.2500 0.2500

***

# 18
An optimized crystal structure of RbTlPb, computed with GGA-PBE.

Properties
- Formation energy: -0.114 eV per atom
- DFT total energy: -7.385 eV/f.u.
- Total magnetization: 0.00 μB/atom

Cell lengths 9.2087, 5.5453, 8.9514 Å; angles 90.00, 90.00, 90.00 degrees
Positions (direct):
Tl 0.8227 0.2500 0.4066
Tl 0.6773 0.7500 0.9066
Tl 0.1773 0.7500 0.5934
Tl 0.3227 0.2500 0.0934
Pb 0.3335 0.7500 0.9113
Pb 0.8335 0.7500 0.5887
Pb 0.6665 0.2500 0.0887
Pb 0.1665 0.2500 0.4113
Rb 0.4995 0.7500 0.3194
Rb 0.5005 0.2500 0.6806
Rb 0.9995 0.7500 0.1806
Rb 0.0005 0.2500 0.8194

***

# 19
An optimized crystal structure of LiTmZr2S4, computed with GGA-PBE.

Properties
- Uncorrected formation energy: -1.623 eV per atom
- DFT total energy: -52.974 eV/f.u.
- Total magnetization: 0.00 μB/atom

Cell lengths 3.6704, 6.3090, 6.6778 Å; angles 108.14, 90.00, 90.00 degrees
Positions (direct):
Li 0.0000 0.0000 0.0000
Zr 0.0000 0.5000 0.5000
Zr 0.5000 0.0000 0.5000
S 0.0000 0.2407 0.7524
S 0.5000 0.7569 0.7527
S 0.0000 0.7593 0.2476
S 0.5000 0.2431 0.2473
Tm 0.5000 0.5000 0.0000

***

# 20
An optimized crystal structure of Li2Tb2CePb2, computed with GGA-PBE.

Properties
- Formation energy: -0.279 eV per atom
- DFT total energy: -28.391 eV/f.u.
- Total magnetization: 0.23 μB/atom

Cell lengths 4.9041, 4.9041, 9.4387 Å; angles 74.94, 74.94, 60.00 degrees
Positions (direct):
Li 0.4123 0.4123 0.7632
Li 0.5877 0.5877 0.2368
Tb 0.1300 0.1300 0.6101
Tb 0.8700 0.8700 0.3899
Pb 0.2618 0.2618 0.2146
Pb 0.7382 0.7382 0.7854
Ce 0.0000 0.0000 0.0000